A plane-wave DFT calculation with GGA-PBE was carried out for crystalline BeZnS2 at its relaxed geometry.

Results
Total moment   0.00 μB per cell
Formation energy from raw total energies   -0.410 eV per atom
Energy above the most stable polymorph in this dataset   512 meV/atom
Total DFT energy (no corrections)   -3.724 eV per atom
ρ   3.902 g cm⁻³

POSCAR file:
```
BeZnS2
1.0
3.465 0.000 0.000
0.000 3.465 0.000
0.000 0.000 4.910
Be Zn S
1 1 2
Direct
0.000 0.000 0.000
0.500 0.500 0.500
0.000 0.000 0.500
0.500 0.500 0.000
```